Here is a geometry-optimized CdHNO2 structure from Alexandria. Energies are from GGA-PBEsol.

E_tot: -14.82 eV for the cell shown
size of the total moment: 4.818 μB/f.u.

a b c (Å): 4.191 4.191 4.490
angles (deg): 90.00 90.00 90.00
Space group P4/mmm (No. 123)
Symmetry-distinct sites (fractional):
Cd 0.000 0.000 0.000 x1
H 0.500 0.500 0.500 x1
N 0.000 0.000 0.500 x1
O 0.000 0.500 0.000 x2